KIn2Bi (PBE-GGA, relaxed); SG = P4/mmm, No. 123; DFT formation energy = -70 meV/atom; calculated density = 6.38 g/cm3
1.0
5.089 0.000 0.000
0.000 4.944 0.000
0.000 0.000 4.944
K Bi In
1 1 2
direct
0.500 0.000 0.000 K
0.500 0.500 0.500 Bi
0.000 0.000 0.500 In
0.000 0.500 0.000 In